{"formula": "PrLu3", "functional": "meta-GGA SCAN", "state": "PBEsol geometry", "m_tot_mub_per_fu": 0.671, "ef_ev_per_atom": 0.01, "lattice_angstrom": [[7.0181, 0.0000, 0.0000], [-3.5091, 6.0779, 0.0000], [0.0000, 0.0000, 5.5259]], "species": ["Pr", "Pr", "Lu", "Lu", "Lu", "Lu", "Lu", "Lu"], "fractional_positions": [[0.3333, 0.6667, 0.2500], [0.6667, 0.3333, 0.7500], [0.1645, 0.3290, 0.7500], [0.1645, 0.8355, 0.7500], [0.3290, 0.1645, 0.2500], [0.6710, 0.8355, 0.7500], [0.8355, 0.1645, 0.2500], [0.8355, 0.6710, 0.2500]]}